Record 1
A relaxed Ag12Te3H5 crystal, computed with PBE.

Uncorrected energy (eV/cell): -227.9

Geometry as POSCAR:
```
Ag12Te3H5
1.0
-7.000 7.000 7.000
7.000 -7.000 7.000
7.000 7.000 -7.000
Ag Te H
48 12 20
direct
0.004 0.690 0.096
0.004 0.814 0.908
0.092 0.596 0.905
0.092 0.996 0.186
0.095 0.686 0.690
0.095 0.908 0.404
0.096 0.004 0.690
0.096 0.592 0.405
0.186 0.092 0.996
0.186 0.595 0.190
0.190 0.186 0.595
0.190 0.504 0.596
0.310 0.904 0.996
0.310 0.905 0.314
0.314 0.310 0.905
0.314 0.504 0.408
0.404 0.095 0.908
0.404 0.810 0.496
0.405 0.096 0.592
0.405 0.810 0.814
0.408 0.314 0.504
0.408 0.595 0.904
0.496 0.404 0.810
0.496 0.592 0.686
0.504 0.408 0.314
0.504 0.596 0.190
0.592 0.405 0.096
0.592 0.686 0.496
0.595 0.190 0.186
0.595 0.904 0.408
0.596 0.190 0.504
0.596 0.905 0.092
0.686 0.496 0.592
0.686 0.690 0.095
0.690 0.095 0.686
0.690 0.096 0.004
0.810 0.496 0.404
0.810 0.814 0.405
0.814 0.405 0.810
0.814 0.908 0.004
0.904 0.408 0.595
0.904 0.996 0.310
0.905 0.092 0.596
0.905 0.314 0.310
0.908 0.004 0.814
0.908 0.404 0.095
0.996 0.186 0.092
0.996 0.310 0.904
0.125 0.250 0.375
0.125 0.375 0.750
0.250 0.375 0.125
0.250 0.875 0.625
0.375 0.125 0.250
0.375 0.750 0.125
0.625 0.250 0.875
0.625 0.875 0.750
0.750 0.125 0.375
0.750 0.625 0.875
0.875 0.625 0.250
0.875 0.750 0.625
0.000 0.000 0.000
0.000 0.000 0.500
0.000 0.500 0.000
0.000 0.500 0.500
0.125 0.750 0.875
0.125 0.875 0.250
0.250 0.125 0.875
0.250 0.625 0.375
0.375 0.250 0.625
0.375 0.625 0.750
0.500 0.000 0.000
0.500 0.000 0.500
0.500 0.500 0.000
0.500 0.500 0.500
0.625 0.375 0.250
0.625 0.750 0.375
0.750 0.375 0.625
0.750 0.875 0.125
0.875 0.125 0.750
0.875 0.250 0.125
```

***

Record 2
A relaxed LiScMn2 crystal, computed with PBE.

Energy above the lowest structure with this stoichiometry (meV per atom): 0
Uncorrected energy (eV/cell): -25.9
Calculated formation energy (eV per atom): 0.1621

Geometry as POSCAR:
```
LiScMn2
1.0
3.041 0.000 0.000
0.000 3.041 0.000
0.000 0.000 6.938
Li Sc Mn
1 1 2
direct
0.000 0.000 0.000
0.500 0.500 0.675
0.000 0.000 0.415
0.500 0.500 0.240
```

***

Record 3
A relaxed PrHfGe2 crystal, computed with PBE.

Uncorrected energy (eV/cell): -26.5
Calculated formation energy (eV per atom): -0.6316

Geometry as POSCAR:
```
PrHfGe2
1.0
2.032 1.173 6.702
-2.032 1.173 6.702
0.000 -2.347 6.702
Pr Hf Ge
1 1 2
direct
0.000 0.000 0.000
0.500 0.500 0.500
0.239 0.239 0.239
0.761 0.761 0.761
```

***

Record 4
A relaxed AgSb2TeH crystal, computed with PBE.

Energy above the lowest structure with this stoichiometry (meV per atom): 554
Uncorrected energy (eV/cell): -12.4

Geometry as POSCAR:
```
AgSb2TeH
1.0
5.406 0.000 0.000
0.000 5.406 0.000
0.000 0.000 5.553
Ag Sb Te H
1 2 1 1
direct
0.000 0.000 0.000
0.000 0.500 0.000
0.500 0.000 0.000
0.000 0.000 0.500
0.500 0.500 0.500
```

***

Look up the uncorrected energy of the fourth one.
-12.4 eV/cell